Record 1
Entry from Alexandria: crystalline NaTe2AsO6 at its relaxed geometry (PBE).

```
data_NaTe2AsO6
_space_group_name_H-M_alt 'C 1 2/c 1'
_space_group_IT_number 15
_space_group_name_Hall '-C 2yc'
_cell_length_a 12.976
_cell_length_b 9.556
_cell_length_c 6.009
_cell_angle_alpha 90.00
_cell_angle_beta 115.02
_cell_angle_gamma 90.00
loop_
_atom_site_label
_atom_site_type_symbol
_atom_site_fract_x
_atom_site_fract_y
_atom_site_fract_z
_atom_site_occupancy
Na1 Na 0.000 0.103 0.250 1
Te1 Te 0.234 0.413 0.606 1
As1 As 0.000 0.232 0.750 1
O1 O 0.089 0.116 0.972 1
O2 O 0.145 0.491 0.265 1
O3 O 0.150 0.247 0.554 1
```

Results
- Fermi-level density of states: 0.00 states/eV/cell
- Electronic total energy: -5.305 eV per atom
- Formation energy (no corrections): -1.11 eV/atom

Record 2
Entry from Alexandria: crystalline NaTeAs2O6 at its relaxed geometry (PBE).

```
data_NaTeAs2O6
_space_group_name_H-M_alt 'R 3'
_space_group_IT_number 146
_space_group_name_Hall 'R 3'
_cell_length_a 5.5202
_cell_length_b 5.5202
_cell_length_c 17.0774
_cell_angle_alpha 90.00
_cell_angle_beta 90.00
_cell_angle_gamma 120.00
loop_
_atom_site_label
_atom_site_type_symbol
_atom_site_fract_x
_atom_site_fract_y
_atom_site_fract_z
_atom_site_occupancy
Na1 Na 0.0000 0.0000 0.0000 1
Te1 Te 0.0000 0.0000 0.4771 1
As1 As 0.0000 0.0000 0.2618 1
As2 As 0.0000 0.0000 0.8058 1
O1 O 0.0737 0.7343 0.8856 1
O2 O 0.0931 0.3341 0.4112 1
```

Results
- Fermi-level density of states: 9.25 states/eV/cell
- Electronic total energy: -5.476 eV per atom
- Formation energy (no corrections): -1.13 eV/atom

Record 3
Entry from Alexandria: crystalline NaThAs2O8 at its relaxed geometry (PBE).

```
data_NaThAs2O8
_space_group_name_H-M_alt 'I -4'
_space_group_IT_number 82
_space_group_name_Hall 'I -4'
_cell_length_a 5.200
_cell_length_b 5.200
_cell_length_c 11.567
_cell_angle_alpha 90.00
_cell_angle_beta 90.00
_cell_angle_gamma 90.00
loop_
_atom_site_label
_atom_site_type_symbol
_atom_site_fract_x
_atom_site_fract_y
_atom_site_fract_z
_atom_site_occupancy
Na1 Na 0.000 0.000 0.000 1
Th1 Th 0.000 0.500 0.250 1
As1 As 0.000 0.000 0.500 1
As2 As 0.000 0.500 0.750 1
O1 O 0.129 0.244 0.417 1
O2 O 0.144 0.748 0.825 1
```

Results
- Fermi-level density of states: 16.65 states/eV/cell
- Electronic total energy: -6.676 eV per atom
- Formation energy (no corrections): -1.87 eV/atom

Record 4
Entry from Alexandria: crystalline NaThAsO5 at its relaxed geometry (PBE).

```
data_NaThAsO5
_space_group_name_H-M_alt 'C 1 2/c 1'
_space_group_IT_number 15
_space_group_name_Hall '-C 2yc'
_cell_length_a 8.144
_cell_length_b 9.387
_cell_length_c 8.234
_cell_angle_alpha 90.00
_cell_angle_beta 116.46
_cell_angle_gamma 90.00
loop_
_atom_site_label
_atom_site_type_symbol
_atom_site_fract_x
_atom_site_fract_y
_atom_site_fract_z
_atom_site_occupancy
Na1 Na 0.000 0.174 0.250 1
Th1 Th 0.000 0.500 0.000 1
As1 As 0.000 0.154 0.750 1
O1 O 0.000 0.417 0.250 1
O2 O 0.050 0.260 0.607 1
O3 O 0.178 0.040 0.873 1
```

Results
- Fermi-level density of states: 0.00 states/eV/cell
- Electronic total energy: -7.134 eV per atom
- Formation energy (no corrections): -2.36 eV/atom

Record 5
Entry from Alexandria: crystalline Na2ThAs2O8 at its relaxed geometry (PBE).

```
data_Na2ThAs2O8
_space_group_name_H-M_alt 'F d d d'
_space_group_IT_number 70
_cell_length_a 7.131
_cell_length_b 12.425
_cell_length_c 18.602
_cell_angle_alpha 90.00
_cell_angle_beta 90.00
_cell_angle_gamma 90.00
loop_
_space_group_symop_operation_xyz
'x,y,z'
'-x,-y,-z'
'-x+1/4,-y+1/4,z'
'x+1/4,y+1/4,-z'
'x,-y+1/4,-z+1/4'
'-x,y+1/4,z+1/4'
'-x+1/4,y,-z+1/4'
'x+1/4,-y,z+1/4'
'x,y+1/2,z+1/2'
'-x,-y+1/2,-z+1/2'
'-x+1/4,-y+3/4,z+1/2'
'x+1/4,y+3/4,-z+1/2'
'x,-y+3/4,-z+3/4'
'-x,y+3/4,z+3/4'
'-x+1/4,y+1/2,-z+3/4'
'x+1/4,-y+1/2,z+3/4'
'x+1/2,y,z+1/2'
'-x+1/2,-y,-z+1/2'
'-x+3/4,-y+1/4,z+1/2'
'x+3/4,y+1/4,-z+1/2'
'x+1/2,-y+1/4,-z+3/4'
'-x+1/2,y+1/4,z+3/4'
'-x+3/4,y,-z+3/4'
'x+3/4,-y,z+3/4'
'x+1/2,y+1/2,z'
'-x+1/2,-y+1/2,-z'
'-x+3/4,-y+3/4,z'
'x+3/4,y+3/4,-z'
'x+1/2,-y+3/4,-z+1/4'
'-x+1/2,y+3/4,z+1/4'
'-x+3/4,y+1/2,-z+1/4'
'x+3/4,-y+1/2,z+1/4'
loop_
_atom_site_label
_atom_site_type_symbol
_atom_site_fract_x
_atom_site_fract_y
_atom_site_fract_z
_atom_site_occupancy
Na1 Na 0.125 0.125 0.271 1
Th1 Th 0.125 0.125 0.625 1
As1 As 0.125 0.125 0.447 1
O1 O 0.050 0.338 0.994 1
O2 O 0.077 0.021 0.390 1
```

Results
- Fermi-level density of states: 0.00 states/eV/cell
- Electronic total energy: -6.621 eV per atom
- Formation energy (no corrections): -2.08 eV/atom

Record 6
Entry from Alexandria: crystalline Na2ThAsO6 at its relaxed geometry (PBE).

```
data_Na2ThAsO6
_space_group_name_H-M_alt 'P 4 m m'
_space_group_IT_number 99
_space_group_name_Hall 'P 4 -2'
_cell_length_a 5.708
_cell_length_b 5.708
_cell_length_c 4.569
_cell_angle_alpha 90.00
_cell_angle_beta 90.00
_cell_angle_gamma 90.00
loop_
_atom_site_label
_atom_site_type_symbol
_atom_site_fract_x
_atom_site_fract_y
_atom_site_fract_z
_atom_site_occupancy
Na1 Na 0.000 0.500 0.000 1
Th1 Th 0.000 0.000 0.583 1
As1 As 0.500 0.500 0.546 1
O1 O 0.000 0.000 0.094 1
O2 O 0.281 0.281 0.639 1
O3 O 0.500 0.500 0.169 1
```

Results
- Fermi-level density of states: 5.19 states/eV/cell
- Electronic total energy: -6.398 eV per atom
- Formation energy (no corrections): -1.95 eV/atom

Record 7
Entry from Alexandria: crystalline NaTi2As3O12 at its relaxed geometry (PBE).

```
data_NaTi2As3O12
_space_group_name_H-M_alt 'R -3 c'
_space_group_IT_number 167
_space_group_name_Hall '-R 3 2"c'
_cell_length_a 9.0041
_cell_length_b 9.0041
_cell_length_c 22.5685
_cell_angle_alpha 90.00
_cell_angle_beta 90.00
_cell_angle_gamma 120.00
loop_
_atom_site_label
_atom_site_type_symbol
_atom_site_fract_x
_atom_site_fract_y
_atom_site_fract_z
_atom_site_occupancy
Na1 Na 0.0000 0.0000 0.0000 1
Ti1 Ti 0.0000 0.0000 0.1429 1
As1 As 0.0000 0.2869 0.2500 1
O1 O 0.0218 0.1903 0.1878 1
O2 O 0.0283 0.1821 0.9151 1
```

Results
- Fermi-level density of states: 0.00 states/eV/cell
- Electronic total energy: -6.923 eV per atom
- Formation energy (no corrections): -1.89 eV/atom

Record 8
Entry from Alexandria: crystalline Na2TiAs2O6 at its relaxed geometry (PBE).

```
data_Na2TiAs2O6
_space_group_name_H-M_alt 'C 1 2/m 1'
_space_group_IT_number 12
_space_group_name_Hall '-C 2y'
_cell_length_a 9.334
_cell_length_b 5.475
_cell_length_c 6.421
_cell_angle_alpha 90.00
_cell_angle_beta 91.56
_cell_angle_gamma 90.00
loop_
_atom_site_label
_atom_site_type_symbol
_atom_site_fract_x
_atom_site_fract_y
_atom_site_fract_z
_atom_site_occupancy
Na1 Na 0.165 0.000 0.168 1
Ti1 Ti 0.000 0.500 0.000 1
As1 As 0.157 0.000 0.691 1
O1 O 0.059 0.245 0.801 1
O2 O 0.192 0.500 0.129 1
```

Results
- Fermi-level density of states: 0.00 states/eV/cell
- Electronic total energy: -6.367 eV per atom
- Formation energy (no corrections): -1.86 eV/atom

Record 9
Entry from Alexandria: crystalline NaTiAsO5 at its relaxed geometry (PBE).

```
data_NaTiAsO5
_space_group_name_H-M_alt 'C 1 2/c 1'
_space_group_IT_number 15
_space_group_name_Hall '-C 2yc'
_cell_length_a 6.844
_cell_length_b 8.915
_cell_length_c 7.215
_cell_angle_alpha 90.00
_cell_angle_beta 114.37
_cell_angle_gamma 90.00
loop_
_atom_site_label
_atom_site_type_symbol
_atom_site_fract_x
_atom_site_fract_y
_atom_site_fract_z
_atom_site_occupancy
Na1 Na 0.000 0.178 0.250 1
Ti1 Ti 0.000 0.500 0.000 1
As1 As 0.000 0.181 0.750 1
O1 O 0.000 0.441 0.250 1
O2 O 0.098 0.288 0.608 1
O3 O 0.191 0.062 0.915 1
```

Results
- Fermi-level density of states: 0.00 states/eV/cell
- Electronic total energy: -6.919 eV per atom
- Formation energy (no corrections): -2.09 eV/atom

Record 10
Entry from Alexandria: crystalline NaTi2AsO6 at its relaxed geometry (PBE).

```
data_NaTi2AsO6
_space_group_name_H-M_alt 'C 1 2/c 1'
_space_group_IT_number 15
_space_group_name_Hall '-C 2yc'
_cell_length_a 10.905
_cell_length_b 9.500
_cell_length_c 6.043
_cell_angle_alpha 90.00
_cell_angle_beta 108.72
_cell_angle_gamma 90.00
loop_
_atom_site_label
_atom_site_type_symbol
_atom_site_fract_x
_atom_site_fract_y
_atom_site_fract_z
_atom_site_occupancy
Na1 Na 0.000 0.101 0.250 1
Ti1 Ti 0.217 0.404 0.219 1
As1 As 0.000 0.256 0.750 1
O1 O 0.102 0.126 0.672 1
O2 O 0.126 0.252 0.100 1
O3 O 0.178 0.468 0.480 1
```

Results
- Fermi-level density of states: 0.00 states/eV/cell
- Electronic total energy: -7.547 eV per atom
- Formation energy (no corrections): -2.40 eV/atom

Record 11
Entry from Alexandria: crystalline NaTiAsO5 at its relaxed geometry (PBE).

```
data_NaTiAsO5
_space_group_name_H-M_alt 'P 1 21/c 1'
_space_group_IT_number 14
_space_group_name_Hall '-P 2ybc'
_cell_length_a 6.852
_cell_length_b 8.896
_cell_length_c 7.322
_cell_angle_alpha 90.00
_cell_angle_beta 114.92
_cell_angle_gamma 90.00
loop_
_atom_site_label
_atom_site_type_symbol
_atom_site_fract_x
_atom_site_fract_y
_atom_site_fract_z
_atom_site_occupancy
Na1 Na 0.248 0.073 0.237 1
Ti1 Ti 0.252 0.743 0.981 1
As1 As 0.250 0.068 0.748 1
O1 O 0.055 0.185 0.584 1
O2 O 0.154 0.540 0.389 1
O3 O 0.251 0.688 0.752 1
O4 O 0.352 0.537 0.112 1
O5 O 0.437 0.190 0.911 1
```

Results
- Fermi-level density of states: 0.00 states/eV/cell
- Electronic total energy: -6.922 eV per atom
- Formation energy (no corrections): -2.09 eV/atom

Record 12
Entry from Alexandria: crystalline NaTiAsO6 at its relaxed geometry (PBE).

```
data_NaTiAsO6
_space_group_name_H-M_alt 'P -3 1 c'
_space_group_IT_number 163
_space_group_name_Hall '-P 3 2c'
_cell_length_a 5.1092
_cell_length_b 5.1092
_cell_length_c 10.1867
_cell_angle_alpha 90.00
_cell_angle_beta 90.00
_cell_angle_gamma 120.00
loop_
_atom_site_label
_atom_site_type_symbol
_atom_site_fract_x
_atom_site_fract_y
_atom_site_fract_z
_atom_site_occupancy
Na1 Na 0.0000 0.0000 0.0000 1
Ti1 Ti 0.3333 0.6667 0.2500 1
As1 As 0.3333 0.6667 0.7500 1
O1 O 0.0186 0.3791 0.6491 1
```

Results
- Fermi-level density of states: 10.35 states/eV/cell
- Electronic total energy: -6.375 eV per atom
- Formation energy (no corrections): -1.53 eV/atom

Record 13
Entry from Alexandria: crystalline NaTi2AsO8 at its relaxed geometry (PBE).

```
data_NaTi2AsO8
_space_group_name_H-M_alt 'P 1 2/m 1'
_space_group_IT_number 10
_space_group_name_Hall '-P 2y'
_cell_length_a 4.545
_cell_length_b 6.695
_cell_length_c 4.556
_cell_angle_alpha 90.00
_cell_angle_beta 92.38
_cell_angle_gamma 90.00
loop_
_atom_site_label
_atom_site_type_symbol
_atom_site_fract_x
_atom_site_fract_y
_atom_site_fract_z
_atom_site_occupancy
Na1 Na 0.000 0.000 0.000 1
Ti1 Ti 0.500 0.287 0.500 1
As1 As 0.000 0.500 0.000 1
O1 O 0.198 0.300 0.197 1
O2 O 0.297 0.500 0.701 1
O3 O 0.383 0.000 0.614 1
```

Results
- Electronic total energy: -7.026 eV per atom
- Formation energy (no corrections): -1.91 eV/atom

Record 14
Entry from Alexandria: crystalline Na3TiAs2O8 at its relaxed geometry (PBE).

```
data_Na3TiAs2O8
_space_group_name_H-M_alt 'P -3 m 1'
_space_group_IT_number 164
_space_group_name_Hall '-P 3 2"'
_cell_length_a 5.5767
_cell_length_b 5.5767
_cell_length_c 6.8864
_cell_angle_alpha 90.00
_cell_angle_beta 90.00
_cell_angle_gamma 120.00
loop_
_atom_site_label
_atom_site_type_symbol
_atom_site_fract_x
_atom_site_fract_y
_atom_site_fract_z
_atom_site_occupancy
Na1 Na 0.0000 0.0000 0.0000 1
Na2 Na 0.3333 0.6667 0.6655 1
Ti1 Ti 0.0000 0.0000 0.5000 1
As1 As 0.3333 0.6667 0.2228 1
O1 O 0.1676 0.3352 0.3199 1
O2 O 0.3333 0.6667 0.9810 1
```

Results
- Fermi-level density of states: 4.53 states/eV/cell
- Electronic total energy: -6.078 eV per atom
- Formation energy (no corrections): -1.73 eV/atom

Record 15
Entry from Alexandria: crystalline Na2TiAsO5 at its relaxed geometry (PBE).

```
data_Na2TiAsO5
_space_group_name_H-M_alt 'C m c 21'
_space_group_IT_number 36
_space_group_name_Hall 'C 2c -2'
_cell_length_a 3.282
_cell_length_b 13.657
_cell_length_c 10.898
_cell_angle_alpha 90.00
_cell_angle_beta 90.00
_cell_angle_gamma 90.00
loop_
_atom_site_label
_atom_site_type_symbol
_atom_site_fract_x
_atom_site_fract_y
_atom_site_fract_z
_atom_site_occupancy
Na1 Na 0.000 0.082 0.000 1
Na2 Na 0.000 0.142 0.672 1
Ti1 Ti 0.000 0.231 0.396 1
As1 As 0.000 0.439 0.781 1
O1 O 0.000 0.059 0.367 1
O2 O 0.000 0.274 0.995 1
O3 O 0.000 0.308 0.761 1
O4 O 0.000 0.352 0.349 1
O5 O 0.000 0.489 0.635 1
```

Results
- Fermi-level density of states: 4.52 states/eV/cell
- Electronic total energy: -6.354 eV per atom
- Formation energy (no corrections): -1.91 eV/atom

Record 16
Entry from Alexandria: crystalline Na4Tl3AsO8 at its relaxed geometry (PBE).

```
data_Na4Tl3AsO8
_space_group_name_H-M_alt 'R -3 m'
_space_group_IT_number 166
_space_group_name_Hall '-R 3 2"'
_cell_length_a 6.7622
_cell_length_b 6.7622
_cell_length_c 16.6737
_cell_angle_alpha 90.00
_cell_angle_beta 90.00
_cell_angle_gamma 120.00
loop_
_atom_site_label
_atom_site_type_symbol
_atom_site_fract_x
_atom_site_fract_y
_atom_site_fract_z
_atom_site_occupancy
Na1 Na 0.0000 0.0000 0.0000 1
Na2 Na 0.0000 0.5000 0.0000 1
Tl1 Tl 0.0000 0.5000 0.5000 1
As1 As 0.0000 0.0000 0.5000 1
O1 O 0.0000 0.0000 0.2416 1
O2 O 0.0144 0.5072 0.2395 1
```

Results
- Fermi-level density of states: 0.14 states/eV/cell
- Electronic total energy: -4.627 eV per atom
- Formation energy (no corrections): -1.08 eV/atom